No. 1
Computed, not measured: an optimized crystal structure of La2TmSn at the GGA-PBE level of DFT.

The structure belongs to space group Fm-3m (No. 225); the cell edges are 7.942, 7.942 and 7.942 Å and the angles 90.00°, 90.00° and 90.00°. The distinct sites, in fractional coordinates, are La at (0.250, 0.250, 0.250), Tm at (0.000, 0.000, 0.000) and Sn at (0.000, 0.000, 0.500).

The density of states at the Fermi level is 25.5 states/eV per cell. The excess energy over the best structure of this formula in the dataset comes out at 165 meV/atom. Its energy of formation from the pure elements is -275 meV/atom.

No. 2
Computed, not measured: an optimized crystal structure of CrFeAg2 at the GGA-PBE level of DFT.

The structure belongs to space group Cmmm (No. 65); the cell edges are 3.118, 4.286 and 9.123 Å and the angles 90.00°, 90.00° and 90.00°. The distinct sites, in fractional coordinates, are Cr at (0.000, 0.000, 0.000), Fe at (0.000, 0.000, 0.500) and Ag at (0.000, 0.500, 0.252).

The density of states at the Fermi level is 7.6 states/eV per cell. The excess energy over the best structure of this formula in the dataset comes out at 291 meV/atom. Its energy of formation from the pure elements is 618 meV/atom.

No. 3
Computed, not measured: an optimized crystal structure of HfTc2Rh2 at the GGA-PBE level of DFT.

The structure belongs to space group P4/mbm (No. 127); the cell edges are 7.566, 7.566 and 2.786 Å and the angles 90.00°, 90.00° and 90.00°. The distinct sites, in fractional coordinates, are Hf at (0.000, 0.000, 0.000), Tc at (0.119, 0.381, 0.000) and Rh at (0.176, 0.676, 0.500).

The density of states at the Fermi level is 7.2 states/eV per cell. The excess energy over the best structure of this formula in the dataset comes out at 0 meV/atom. Its energy of formation from the pure elements is -122 meV/atom.

No. 4
Computed, not measured: an optimized crystal structure of MgAl2Co at the GGA-PBE level of DFT.

The structure belongs to space group Cmmm (No. 65); the cell edges are 5.399, 7.738 and 2.847 Å and the angles 90.00°, 90.00° and 90.00°. The distinct sites, in fractional coordinates, are Mg at (0.000, 0.000, 0.000), Al at (0.250, 0.250, 0.500) and Co at (0.000, 0.500, 0.000).

The density of states at the Fermi level is 4.9 states/eV per cell. Its energy of formation from the pure elements is -4 meV/atom.

What is the formula in the fourth record?
MgAl2Co